# 1
Entry from Alexandria: an optimized crystal structure of CaBeB3 (PBE).

a = 3.8460 Å, b = 3.8460 Å, c = 3.8460 Å
α = 90.00°, β = 90.00°, γ = 90.00°
Closest atoms and distances in Å follow each position.
Sites, in units of the cell vectors:
Ca 0.0000 0.0000 0.0000  12 B 2.72
Be 0.5000 0.5000 0.5000  6 B 1.92
B 0.0000 0.5000 0.5000  2 Be 1.92
B 0.5000 0.0000 0.5000  2 Be 1.92
B 0.5000 0.5000 0.0000  2 Be 1.92

## Properties
Formation enthalpy at 0 K   1027 meV per atom
Total moment   0.00 μB/cell
Space-group type   Pm-3m
Energy above the most stable polymorph in this dataset   0.00 kJ/mol of atoms

---

# 2
Entry from Alexandria: an optimized crystal structure of Nd6PCl8 (PBE).

a = 10.8780 Å, b = 10.8780 Å, c = 10.8780 Å
α = 38.40°, β = 38.40°, γ = 38.40°
Closest atoms and distances in Å follow each position.
Sites, in units of the cell vectors:
Nd 0.1391 0.4477 0.7562  1 P 2.71, 5 Cl 2.85-3.01
Nd 0.2438 0.8609 0.5523  1 P 2.71, 5 Cl 2.85-3.01
Nd 0.4477 0.7562 0.1391  1 P 2.71, 5 Cl 2.85-3.01
Nd 0.5523 0.2438 0.8609  1 P 2.71, 5 Cl 2.85-3.01
Nd 0.7562 0.1391 0.4477  1 P 2.71, 5 Cl 2.85-3.01
Nd 0.8609 0.5523 0.2438  1 P 2.71, 5 Cl 2.85-3.01
P 0.5000 0.5000 0.5000  6 Nd 2.71
Cl 0.0543 0.7320 0.3932  3 Nd 2.85-3.01
Cl 0.1667 0.1667 0.1667  6 Nd 2.94
Cl 0.2680 0.6068 0.9457  3 Nd 2.85-3.01
Cl 0.3932 0.0543 0.7320  3 Nd 2.85-3.01
Cl 0.6068 0.9457 0.2680  3 Nd 2.85-3.01
Cl 0.7320 0.3932 0.0543  3 Nd 2.85-3.01
Cl 0.8333 0.8333 0.8333  6 Nd 2.94
Cl 0.9457 0.2680 0.6068  3 Nd 2.85-3.01

## Properties
VASP energy   -0.3735 Ry per atom
Total moment   0.00 μB/cell
Space-group type   R-3

---

# 3
Entry from Alexandria: an optimized crystal structure of TaAs2PbS (PBE).

a = 5.1155 Å, b = 5.1155 Å, c = 4.7331 Å
α = 90.00°, β = 90.00°, γ = 90.00°
Closest atoms and distances in Å follow each position.
Sites, in units of the cell vectors:
Ta 0.0000 0.0000 0.0000  2 S 2.37, 4 As 2.56
As 0.0000 0.5000 0.0000  2 Ta 2.56
As 0.5000 0.0000 0.0000  2 Ta 2.56
Pb 0.5000 0.5000 0.5000  8 As 3.48, 4 S 3.62
S 0.0000 0.0000 0.5000  2 Ta 2.37

## Properties
VASP energy   -0.4294 Ry per atom
Total moment   0.00 μB/cell
Space-group type   P4/mmm

---

# 4
Entry from Alexandria: an optimized crystal structure of Mg7Zn2Ir2 (PBE).

a = 6.2054 Å, b = 6.2054 Å, c = 6.3464 Å
α = 90.00°, β = 90.00°, γ = 99.08°
Closest atoms and distances in Å follow each position.
Sites, in units of the cell vectors:
Mg 0.0000 0.0000 0.0000  2 Ir 2.62
Mg 0.0000 0.5000 0.2513  2 Ir 2.58
Mg 0.0000 0.5000 0.7487  2 Ir 2.58
Mg 0.5000 0.0000 0.2513  2 Ir 2.58
Mg 0.5000 0.0000 0.7487  2 Ir 2.58
Mg 0.5000 0.5000 0.2466  2 Ir 2.62
Mg 0.5000 0.5000 0.7534  2 Ir 2.62
Zn 0.1611 0.1611 0.5000  1 Zn 2.60
Zn 0.8389 0.8389 0.5000  1 Zn 2.60
Ir 0.2776 0.7224 0.0000  7 Mg 2.58-2.62
Ir 0.7224 0.2776 0.0000  7 Mg 2.58-2.62

## Properties
Formation enthalpy at 0 K   4 meV per atom
Total moment   0.00 μB/cell
Space-group type   Cmmm

---

# 5
Entry from Alexandria: an optimized crystal structure of AcCe3Nd2Sb6 (PBE).

a = 7.9022 Å, b = 7.9022 Å, c = 7.9031 Å
α = 99.61°, β = 99.61°, γ = 120.00°
Closest atoms and distances in Å follow each position.
Sites, in units of the cell vectors:
Ac 0.0000 0.0000 0.0000  6 Sb 3.31-3.32
Ce 0.1640 0.8360 0.5000  6 Sb 3.16-3.22
Ce 0.5000 0.5000 0.5000  6 Sb 3.15-3.21
Ce 0.8360 0.1640 0.5000  6 Sb 3.16-3.22
Nd 0.3324 0.6676 0.0000  6 Sb 3.23-3.24
Nd 0.6676 0.3324 0.0000  6 Sb 3.23-3.24
Sb 0.0867 0.4281 0.2591  3 Ce 3.16-3.22, 2 Nd 3.23-3.24, 1 Ac 3.32
Sb 0.2567 0.2567 0.7440  3 Ce 3.15-3.20, 2 Nd 3.23, 1 Ac 3.31
Sb 0.4281 0.0867 0.2591  3 Ce 3.16-3.22, 2 Nd 3.23-3.24, 1 Ac 3.32
Sb 0.5719 0.9133 0.7409  3 Ce 3.16-3.22, 2 Nd 3.23-3.24, 1 Ac 3.32
Sb 0.7433 0.7433 0.2560  3 Ce 3.15-3.20, 2 Nd 3.23, 1 Ac 3.31
Sb 0.9133 0.5719 0.7409  3 Ce 3.16-3.22, 2 Nd 3.23-3.24, 1 Ac 3.32

## Properties
VASP energy   -0.4259 Ry per atom
Total moment   2.38 μB/cell
Space-group type   C2/m

---

# 6
Entry from Alexandria: an optimized crystal structure of CaCeSm2Tl4 (PBE).

a = 9.5987 Å, b = 9.5987 Å, c = 9.5987 Å
α = 33.11°, β = 33.11°, γ = 33.11°
Closest atoms and distances in Å follow each position.
Sites, in units of the cell vectors:
Ca 0.0000 0.0000 0.0000  8 Tl 3.37-3.43
Ce 0.5000 0.5000 0.5000  8 Tl 3.35-3.37
Sm 0.2539 0.2539 0.2539  8 Tl 3.31-3.48
Sm 0.7461 0.7461 0.7461  8 Tl 3.31-3.48
Tl 0.1260 0.1260 0.1260  3 Ce 3.35, 4 Sm 3.40-3.48, 1 Ca 3.43
Tl 0.3761 0.3761 0.3761  4 Sm 3.31-3.32, 3 Ca 3.37, 1 Ce 3.37
Tl 0.6239 0.6239 0.6239  4 Sm 3.31-3.32, 3 Ca 3.37, 1 Ce 3.37
Tl 0.8740 0.8740 0.8740  3 Ce 3.35, 4 Sm 3.40-3.48, 1 Ca 3.43

## Properties
Formation enthalpy at 0 K   -342 meV per atom
Total moment   1.02 μB/cell
Space-group type   R-3m

---

# 7
Entry from Alexandria: an optimized crystal structure of Nd11Er9Th4 (PBE).

a = 15.4121 Å, b = 15.4121 Å, c = 3.7067 Å
α = 90.00°, β = 90.00°, γ = 113.03°
Closest atoms and distances in Å follow each position.
Sites, in units of the cell vectors:
Nd 0.0000 0.0000 0.0000  8 Er 3.53, 2 Nd 3.71
Nd 0.0450 0.4076 0.0000  2 Th 3.40, 6 Er 3.54-3.74, 3 Nd 3.62-3.71
Nd 0.1589 0.8411 0.0000  5 Nd 3.71-4.09, 8 Er 3.72-3.73
Nd 0.2915 0.2915 0.0000  4 Th 3.33, 4 Er 3.70, 2 Nd 3.71
Nd 0.3676 0.6324 0.0000  4 Th 3.34, 4 Er 3.66, 2 Nd 3.71
Nd 0.4076 0.0450 0.0000  2 Th 3.40, 6 Er 3.54-3.74, 3 Nd 3.62-3.71
Nd 0.5924 0.9550 0.0000  2 Th 3.40, 6 Er 3.54-3.74, 3 Nd 3.62-3.71
Nd 0.6324 0.3676 0.0000  4 Th 3.34, 4 Er 3.66, 2 Nd 3.71
Nd 0.7085 0.7085 0.0000  4 Th 3.33, 4 Er 3.70, 2 Nd 3.71
Nd 0.8411 0.1589 0.0000  5 Nd 3.71-4.09, 8 Er 3.72-3.73
Nd 0.9550 0.5924 0.0000  2 Th 3.40, 6 Er 3.54-3.74, 3 Nd 3.62-3.71
Er 0.0657 0.2114 0.5000  8 Nd 3.53-3.73, 1 Th 3.56, 3 Er 3.71-3.75
Er 0.1636 0.6340 0.5000  3 Er 3.44-3.71, 8 Nd 3.54-3.74, 1 Th 3.56
Er 0.2114 0.0657 0.5000  8 Nd 3.53-3.73, 1 Th 3.56, 3 Er 3.71-3.75
Er 0.3660 0.8364 0.5000  3 Er 3.44-3.71, 8 Nd 3.54-3.74, 1 Th 3.56
Er 0.5000 0.5000 0.5000  2 Er 3.71, 4 Th 3.74, 8 Nd 3.87-4.00
Er 0.6340 0.1636 0.5000  3 Er 3.44-3.71, 8 Nd 3.54-3.74, 1 Th 3.56
Er 0.7886 0.9343 0.5000  8 Nd 3.53-3.73, 1 Th 3.56, 3 Er 3.71-3.75
Er 0.8364 0.3660 0.5000  3 Er 3.44-3.71, 8 Nd 3.54-3.74, 1 Th 3.56
Er 0.9343 0.7886 0.5000  8 Nd 3.53-3.73, 1 Th 3.56, 3 Er 3.71-3.75
Th 0.2411 0.4448 0.5000  6 Nd 3.33-3.40, 2 Er 3.56, 2 Th 3.71
Th 0.4448 0.2411 0.5000  6 Nd 3.33-3.40, 2 Er 3.56, 2 Th 3.71
Th 0.5552 0.7589 0.5000  6 Nd 3.33-3.40, 2 Er 3.56, 2 Th 3.71
Th 0.7589 0.5552 0.5000  6 Nd 3.33-3.40, 2 Er 3.56, 2 Th 3.71

## Properties
Formation enthalpy at 0 K   116 meV per atom
Total moment   0.00 μB/cell
Space-group type   Cmmm

---

# 8
Entry from Alexandria: an optimized crystal structure of AcSm2Er6 (PBE).

a = 9.3363 Å, b = 9.3363 Å, c = 9.3363 Å
α = 43.06°, β = 43.06°, γ = 43.06°
Closest atoms and distances in Å follow each position.
Sites, in units of the cell vectors:
Ac 0.0000 0.0000 0.0000  6 Er 3.52-3.58
Sm 0.5830 0.5830 0.5830  9 Er 3.52-3.90
Sm 0.7580 0.7580 0.7580  9 Er 3.49-3.73
Er 0.0462 0.0462 0.5589  6 Er 3.24-3.51, 1 Ac 3.52, 2 Sm 3.52
Er 0.0462 0.5589 0.0462  6 Er 3.24-3.51, 1 Ac 3.52, 2 Sm 3.52
Er 0.2853 0.2853 0.7800  6 Er 3.24-3.46, 2 Sm 3.49, 1 Ac 3.58
Er 0.2853 0.7800 0.2853  6 Er 3.24-3.46, 2 Sm 3.49, 1 Ac 3.58
Er 0.5589 0.0462 0.0462  6 Er 3.24-3.51, 1 Ac 3.52, 2 Sm 3.52
Er 0.7800 0.2853 0.2853  6 Er 3.24-3.46, 2 Sm 3.49, 1 Ac 3.58

## Properties
Formation enthalpy at 0 K   385 meV per atom
Total moment   0.00 μB/cell
Space-group type   R3m
Energy above the most stable polymorph in this dataset   11.92 kJ/mol of atoms

---

# 9
Entry from Alexandria: an optimized crystal structure of CaPbBr (PBE).

a = 5.2851 Å, b = 5.2851 Å, c = 5.2851 Å
α = 60.00°, β = 60.00°, γ = 60.00°
Closest atoms and distances in Å follow each position.
Sites, in units of the cell vectors:
Ca 0.0000 0.0000 0.0000  4 Br 3.24
Pb 0.5000 0.5000 0.5000  4 Br 3.24
Br 0.7500 0.7500 0.7500  4 Ca 3.24, 4 Pb 3.24

## Properties
Total moment   0.00 μB/cell
Space-group type   F-43m
Energy above the most stable polymorph in this dataset   61.56 kJ/mol of atoms

---

# 10
Entry from Alexandria: an optimized crystal structure of ScHgBrCl2 (PBE).

a = 5.0702 Å, b = 5.0702 Å, c = 5.3711 Å
α = 90.00°, β = 90.00°, γ = 90.00°
Closest atoms and distances in Å follow each position.
Sites, in units of the cell vectors:
Sc 0.0000 0.0000 0.0000  4 Cl 2.54, 2 Br 2.69
Hg 0.5000 0.5000 0.5000  4 Br 3.59, 8 Cl 3.69
Br 0.0000 0.0000 0.5000  2 Sc 2.69
Cl 0.0000 0.5000 0.0000  2 Sc 2.54
Cl 0.5000 0.0000 0.0000  2 Sc 2.54

## Properties
VASP energy   -0.2779 Ry per atom
Total moment   0.00 μB/cell
Space-group type   P4/mmm